Here is a relaxed structure of AgHgGeAu from OQMD via LeMat-Bulk. Energies are from PBE.

Geometry as POSCAR:
```
AgHgGeAu
1.0
0.000 3.404 3.404
3.404 0.000 3.404
3.404 3.404 0.000
Ag Au Ge Hg
1 1 1 1
Cartesian
1.702 1.702 1.702
5.106 5.106 5.106
0.000 0.000 0.000
3.404 3.404 3.404
```

Summary:
Total energy ... -2.59 eV/atom
Excess energy over the best structure of this formula in the dataset ... 0 meV/atom

Here is a relaxed structure of Ho2Re3Si5 from OQMD via LeMat-Bulk. Energies are from PBE.

Geometry as POSCAR:
```
Ho2Re3Si5
1.0
10.982 0.000 0.000
0.000 10.982 0.000
0.000 0.000 5.504
Ho Re Si
8 12 20
Cartesian
8.378 0.853 0.000
0.853 2.604 0.000
10.128 8.378 0.000
2.604 10.128 0.000
6.344 2.887 2.752
2.887 4.638 2.752
8.095 6.344 2.752
4.638 8.095 2.752
4.135 3.874 0.000
7.108 4.135 0.000
3.874 6.846 0.000
6.846 7.108 0.000
5.491 0.000 1.376
0.000 5.491 1.376
1.617 1.356 2.752
9.626 1.617 2.752
1.356 9.365 2.752
9.365 9.626 2.752
5.491 0.000 4.128
0.000 5.491 4.128
5.806 2.043 0.000
2.043 5.176 0.000
8.939 5.806 0.000
5.176 8.939 0.000
0.000 0.000 1.327
3.599 1.892 1.376
9.090 3.599 1.376
1.892 7.383 1.376
7.383 9.090 1.376
5.491 5.491 1.425
7.534 0.315 2.752
0.315 3.448 2.752
10.667 7.534 2.752
3.448 10.667 2.752
5.491 5.491 4.079
3.599 1.892 4.128
9.090 3.599 4.128
1.892 7.383 4.128
7.383 9.090 4.128
0.000 0.000 4.176
```

Summary:
Total energy ... -7.94 eV/atom

> Among the records above, which one has the lowest total energy?

Ho2Re3Si5